{
  "formula": "Na2MoP2O6",
  "functional": "GGA+U",
  "state": "optimized geometry",
  "lattice": [[-3.250, 4.258, 1.205], [-1.803, -5.130, 0.757], [2.130, 0.065, 5.515]],
  "species": ["P", "O", "O", "Mo", "Na", "O", "O", "Na", "P", "O", "O"],
  "frac_coords": [[0.333, 0.667, 0.875], [0.822, 0.181, 0.230], [0.181, 0.360, 0.770], [0.000, 0.000, 0.000], [0.667, 0.333, 0.631], [0.819, 0.640, 0.230], [0.640, 0.822, 0.770], [0.333, 0.667, 0.369], [0.667, 0.333, 0.125], [0.178, 0.819, 0.770], [0.360, 0.178, 0.230]],
  "spacegroup": "P-3",
  "energy_ev_per_cell": -69.6
}